# TlCoW2 (SCAN, single point on PBEsol structure)
data_TlCoW2
_chemical_formula_sum 'Tl1 Co1 W2'
_cell_length_a 5.208
_cell_length_b 5.208
_cell_length_c 2.775
_cell_angle_alpha 97.95
_cell_angle_beta 97.95
_cell_angle_gamma 119.16
_symmetry_space_group_name_H-M 'P 1'
_symmetry_Int_Tables_number 1
_symmetry_space_group_name_Hall 'P 1'
loop_
_atom_site_label
_atom_site_type_symbol
_atom_site_fract_x
_atom_site_fract_y
_atom_site_fract_z
Tl1 Tl 0.000 0.000 0.000
Co1 Co 0.500 0.500 0.000
W1 W 0.000 0.500 0.500
W2 W 0.500 0.000 0.500
# volume: 63.2 Å³ per cell
# energy of formation from the pure elements: 0.858 eV per atom
# energy relative to the lowest polymorph listed for this composition: 170.1 meV/atom



# TlCoW2 (SCAN, single point on PBEsol structure)
data_TlCoW2
_chemical_formula_sum 'Tl1 Co1 W2'
_cell_length_a 2.815
_cell_length_b 2.815
_cell_length_c 7.884
_cell_angle_alpha 90.00
_cell_angle_beta 90.00
_cell_angle_gamma 90.00
_symmetry_space_group_name_H-M 'P 1'
_symmetry_Int_Tables_number 1
_symmetry_space_group_name_Hall 'P 1'
loop_
_atom_site_label
_atom_site_type_symbol
_atom_site_fract_x
_atom_site_fract_y
_atom_site_fract_z
Tl1 Tl 0.000 0.000 0.000
Co1 Co 0.000 0.000 0.500
W1 W 0.500 0.500 0.292
W2 W 0.500 0.500 0.708
# volume: 62.5 Å³ per cell
# energy of formation from the pure elements: 0.688 eV per atom
# energy relative to the lowest polymorph listed for this composition: 0.0 meV/atom



# YTlCo (SCAN, single point on PBEsol structure)
data_YTlCo
_chemical_formula_sum 'Y1 Tl1 Co1'
_cell_length_a 4.645
_cell_length_b 4.645
_cell_length_c 4.645
_cell_angle_alpha 60.00
_cell_angle_beta 60.00
_cell_angle_gamma 60.00
_symmetry_space_group_name_H-M 'P 1'
_symmetry_Int_Tables_number 1
_symmetry_space_group_name_Hall 'P 1'
loop_
_atom_site_label
_atom_site_type_symbol
_atom_site_fract_x
_atom_site_fract_y
_atom_site_fract_z
Y1 Y 0.000 0.000 0.000
Tl1 Tl 0.250 0.250 0.250
Co1 Co 0.500 0.500 0.500
# volume: 70.9 Å³ per cell
# energy of formation from the pure elements: 0.183 eV per atom



# TlZn2Co (SCAN, single point on PBEsol structure)
data_TlZn2Co
_chemical_formula_sum 'Tl1 Zn2 Co1'
_cell_length_a 8.984
_cell_length_b 8.984
_cell_length_c 8.984
_cell_angle_alpha 18.93
_cell_angle_beta 18.93
_cell_angle_gamma 18.93
_symmetry_space_group_name_H-M 'P 1'
_symmetry_Int_Tables_number 1
_symmetry_space_group_name_Hall 'P 1'
loop_
_atom_site_label
_atom_site_type_symbol
_atom_site_fract_x
_atom_site_fract_y
_atom_site_fract_z
Tl1 Tl 0.000 0.000 0.000
Zn1 Zn 0.233 0.233 0.233
Zn2 Zn 0.767 0.767 0.767
Co1 Co 0.500 0.500 0.500
# volume: 66.7 Å³ per cell
# energy of formation from the pure elements: 0.334 eV per atom
# energy relative to the lowest polymorph listed for this composition: 0.0 meV/atom



What did the fourth record say?
# TlZn2Co (SCAN, single point on PBEsol structure)
data_TlZn2Co
_chemical_formula_sum 'Tl1 Zn2 Co1'
_cell_length_a 8.984
_cell_length_b 8.984
_cell_length_c 8.984
_cell_angle_alpha 18.93
_cell_angle_beta 18.93
_cell_angle_gamma 18.93
_symmetry_space_group_name_H-M 'P 1'
_symmetry_Int_Tables_number 1
_symmetry_space_group_name_Hall 'P 1'
loop_
_atom_site_label
_atom_site_type_symbol
_atom_site_fract_x
_atom_site_fract_y
_atom_site_fract_z
Tl1 Tl 0.000 0.000 0.000
Zn1 Zn 0.233 0.233 0.233
Zn2 Zn 0.767 0.767 0.767
Co1 Co 0.500 0.500 0.500
# volume: 66.7 Å³ per cell
# energy of formation from the pure elements: 0.334 eV per atom
# energy relative to the lowest polymorph listed for this composition: 0.0 meV/atom



- energy of formation from the pure elements of number 2 (TlCoW2)?
  0.688 eV per atom



- The lowest energy of formation from the pure elements belongs to which entry?
  YTlCo